Record 1
Compound: TbHfCoCu
Source: the Alexandria database
Functional: GGA-PBE
Structure: optimized geometry

Values from the calculation:
Its volume is 287.31 Å³ per cell. The formation energy is -0.146 eV per atom.

Cell: 6.5986 6.5986 6.5986 Å, 90.00 90.00 90.00°
Last column: nearest neighbours and their distance in Å.
Space group F-43m (No. 216)
Symmetry-distinct sites (fractional):
1 Tb 0.0000 0.0000 0.0000 x4  4 Co 2.86, 4 Cu 2.86
2 Hf 0.0000 0.0000 0.5000 x4  4 Co 2.86, 4 Cu 2.86
3 Co 0.2500 0.2500 0.7500 x4  4 Hf 2.86, 4 Tb 2.86
4 Cu 0.2500 0.2500 0.2500 x4  4 Hf 2.86, 4 Tb 2.86


Record 2
Compound: HfTi2CoCu
Source: the Alexandria database
Functional: GGA-PBE
Structure: optimized geometry

Values from the calculation:
Its volume is 87.09 Å³ per cell. The formation energy is 0.334 eV per atom.

Cell: 4.3701 4.3701 4.5605 Å, 90.00 90.00 90.00°
Last column: nearest neighbours and their distance in Å.
Space group P4/mmm (No. 123)
Symmetry-distinct sites (fractional):
1 Hf 0.0000 0.0000 0.0000 x1  4 Cu 3.09, 8 Ti 3.16
2 Ti 0.0000 0.5000 0.5000 x2  2 Co 2.19
3 Co 0.5000 0.5000 0.5000 x1  4 Ti 2.19, 2 Cu 2.28
4 Cu 0.5000 0.5000 0.0000 x1  2 Co 2.28


Record 3
Compound: Hf2TlCoCu
Source: the Alexandria database
Functional: GGA-PBE
Structure: optimized geometry

Values from the calculation:
Its volume is 128.09 Å³ per cell. The formation energy is 1.658 eV per atom.

Cell: 5.2603 5.2603 4.6291 Å, 90.00 90.00 90.00°
Last column: nearest neighbours and their distance in Å.
Space group P4/mmm (No. 123)
Symmetry-distinct sites (fractional):
1 Hf 0.0000 0.5000 0.0000 x2  2 Tl 2.63
2 Tl 0.0000 0.0000 0.0000 x1  2 Co 2.31
3 Co 0.0000 0.0000 0.5000 x1  2 Tl 2.31
4 Cu 0.5000 0.5000 0.5000 x1  8 Hf 3.50, 4 Co 3.72


Record 4
Compound: YHfCoCu
Source: the Alexandria database
Functional: GGA-PBE
Structure: optimized geometry

Values from the calculation:
Its volume is 286.85 Å³ per cell. The formation energy is -0.150 eV per atom.

Cell: 6.5951 6.5951 6.5951 Å, 90.00 90.00 90.00°
Last column: nearest neighbours and their distance in Å.
Space group F-43m (No. 216)
Symmetry-distinct sites (fractional):
1 Y 0.0000 0.0000 0.0000 x4  4 Co 2.86, 4 Cu 2.86
2 Hf 0.0000 0.0000 0.5000 x4  4 Cu 2.86, 4 Co 2.86
3 Co 0.2500 0.2500 0.2500 x4  4 Hf 2.86, 4 Y 2.86
4 Cu 0.2500 0.2500 0.7500 x4  4 Y 2.86, 4 Hf 2.86